# GGA-PBE In2SI, optimized geometry
# Crystal system: triclinic
# Total magnetization: 0.000 μB per atom
# Raw formation energy: -0.385 eV/atom
data_In2SI
_chemical_formula_sum 'In4 S2 I2'
_space_group_name_H-M_alt 'P -1'
_space_group_IT_number 2
_cell_length_a 4.4146
_cell_length_b 5.3829
_cell_length_c 11.2817
_cell_angle_alpha 89.88
_cell_angle_beta 89.94
_cell_angle_gamma 90.00
loop_
_space_group_symop_operation_xyz
'x,y,z'
'-x,-y,-z'
loop_
_atom_site_label
_atom_site_fract_x
_atom_site_fract_y
_atom_site_fract_z
In1 0.2498 0.2487 0.3483
In2 0.2505 0.7497 0.0666
S1 0.2498 0.2496 0.0878
I1 0.2497 0.2511 0.6887